A relaxed ThSi4Pd6 crystal. Source: Alexandria via LeMat-Bulk, functional PBE-GGA.

Cell and atoms, written as POSCAR:
```
ThSi4Pd6
1.0
7.115 0.000 0.000
-3.558 6.162 0.000
0.000 0.000 4.011
Th Si Pd
1 4 6
direct
0.000 0.000 0.000 Th
0.333 0.667 0.000 Si
0.399 0.200 0.500 Si
0.800 0.200 0.500 Si
0.800 0.601 0.500 Si
0.198 0.396 0.500 Pd
0.198 0.802 0.500 Pd
0.534 0.067 0.000 Pd
0.534 0.466 0.000 Pd
0.604 0.802 0.500 Pd
0.933 0.466 0.000 Pd
```

Results
The calculation puts the uncorrected formation energy at -8.4 eV/f.u. Its calculated density is 9.28 g/cm3.

A relaxed Th2SiPd crystal. Source: Alexandria via LeMat-Bulk, functional PBE-GGA.

Cell and atoms, written as POSCAR:
```
Th2SiPd
1.0
1.906 1.101 9.137
-1.906 1.101 9.137
0.000 -2.201 9.137
Th Si Pd
2 1 1
direct
0.099 0.099 0.099 Th
0.901 0.901 0.901 Th
0.500 0.500 0.500 Si
0.000 0.000 0.000 Pd
```

Results
The calculation puts the uncorrected formation energy at -0.1 eV/f.u. Its calculated density is 8.64 g/cm3.

A relaxed Th2Si6Pd21 crystal. Source: Alexandria via LeMat-Bulk, functional PBE-GGA.

Cell and atoms, written as POSCAR:
```
Th2Si6Pd21
1.0
0.000 6.153 6.153
6.153 0.000 6.153
6.153 6.153 0.000
Th Si Pd
2 6 21
direct
0.250 0.250 0.250 Th
0.750 0.750 0.750 Th
0.237 0.237 0.763 Si
0.237 0.763 0.237 Si
0.237 0.763 0.763 Si
0.763 0.237 0.237 Si
0.763 0.237 0.763 Si
0.763 0.763 0.237 Si
0.115 0.115 0.115 Pd
0.115 0.115 0.654 Pd
0.115 0.654 0.115 Pd
0.154 0.500 0.500 Pd
0.154 0.500 0.846 Pd
0.154 0.846 0.500 Pd
0.346 0.885 0.885 Pd
0.500 0.154 0.500 Pd
0.500 0.154 0.846 Pd
0.500 0.500 0.154 Pd
0.500 0.500 0.500 Pd
0.500 0.500 0.846 Pd
0.500 0.846 0.154 Pd
0.500 0.846 0.500 Pd
0.654 0.115 0.115 Pd
0.846 0.154 0.500 Pd
0.846 0.500 0.154 Pd
0.846 0.500 0.500 Pd
0.885 0.346 0.885 Pd
0.885 0.885 0.346 Pd
0.885 0.885 0.885 Pd
```

Results
The calculation puts the uncorrected formation energy at -21.6 eV/f.u. Its calculated density is 10.22 g/cm3.

A relaxed Th3Si2Pd6 crystal. Source: Alexandria via LeMat-Bulk, functional PBE-GGA.

Cell and atoms, written as POSCAR:
```
Th3Si2Pd6
1.0
-4.761 4.761 4.761
4.761 -4.761 4.761
4.761 4.761 -4.761
Th Si Pd
6 4 12
direct
0.000 0.288 0.288 Th
0.000 0.712 0.712 Th
0.288 0.000 0.288 Th
0.288 0.288 0.000 Th
0.712 0.000 0.712 Th
0.712 0.712 0.000 Th
0.000 0.000 0.500 Si
0.000 0.500 0.000 Si
0.500 0.000 0.000 Si
0.500 0.500 0.500 Si
0.000 0.327 0.673 Pd
0.000 0.673 0.327 Pd
0.327 0.000 0.673 Pd
0.327 0.327 0.654 Pd
0.327 0.654 0.327 Pd
0.327 0.673 0.000 Pd
0.346 0.673 0.673 Pd
0.654 0.327 0.327 Pd
0.673 0.000 0.327 Pd
0.673 0.327 0.000 Pd
0.673 0.346 0.673 Pd
0.673 0.673 0.346 Pd
```

Results
The calculation puts the uncorrected formation energy at -8.8 eV/f.u. Its calculated density is 10.70 g/cm3.

| no. | DFT total energy (eV/atom) | DOS(E_F) (states/eV/atom) |
| --- | --- | --- |
| 1 | -6.24 | 0.658 |
| 2 | -6.40 | 0.676 |
| 3 | -6.14 | 0.371 |
| 4 | -6.65 | 1.176 |